Material: Li2LaFeO
Method: DFT, PBE+U
State: relaxed

```
data_Li2LaFeO
_chemical_formula_sum 'Li2 La1 Fe1 O1'
_space_group_name_H-M_alt 'P 4/m m m'
_space_group_IT_number 123
_space_group_name_Hall '-P 4 2'
_cell_length_a 5.481
_cell_length_b 5.481
_cell_length_c 4.123
_cell_angle_alpha 90.00
_cell_angle_beta 90.00
_cell_angle_gamma 90.00
loop_
_atom_site_label
_atom_site_fract_x
_atom_site_fract_y
_atom_site_fract_z
Li1 0.000 0.500 0.000
La1 0.000 0.000 0.000
Fe1 0.000 0.000 0.500
O1 0.500 0.500 0.500
```

Computed properties:
N(E_F)	3.3	states/eV/f.u.
crystal system	tetragonal

---

Material: LiLa2FeO6
Method: DFT, PBE+U
State: relaxed

```
data_LiLa2FeO6
_chemical_formula_sum 'Li3 La6 Fe3 O18'
_space_group_name_H-M_alt 'R -3'
_space_group_IT_number 148
_space_group_name_Hall '-R 3'
_cell_length_a 5.5480
_cell_length_b 5.5480
_cell_length_c 13.1588
_cell_angle_alpha 90.00
_cell_angle_beta 90.00
_cell_angle_gamma 120.00
loop_
_atom_site_label
_atom_site_fract_x
_atom_site_fract_y
_atom_site_fract_z
Li1 0.0000 0.0000 0.0000
La1 0.0000 0.0000 0.2498
Fe1 0.0000 0.0000 0.5000
O1 0.0182 0.5698 0.2480
```

Computed properties:
crystal system	trigonal

---

Material: SrLiLa7Fe3O16
Method: DFT, PBE+U
State: relaxed

```
data_SrLiLa7Fe3O16
_chemical_formula_sum 'Sr1 Li1 La7 Fe3 O16'
_space_group_name_H-M_alt 'P 4 m m'
_space_group_IT_number 99
_cell_length_a 5.428
_cell_length_b 5.428
_cell_length_c 12.555
_cell_angle_alpha 90.00
_cell_angle_beta 90.00
_cell_angle_gamma 90.00
loop_
_space_group_symop_operation_xyz
'x,y,z'
'-y,x,z'
'-x,-y,z'
'y,-x,z'
'-x,y,z'
'y,x,z'
'x,-y,z'
'-y,-x,z'
loop_
_atom_site_label
_atom_site_fract_x
_atom_site_fract_y
_atom_site_fract_z
Sr1 0.000 0.000 0.000
Li1 0.500 0.500 0.641
La1 0.000 0.000 0.277
La2 0.000 0.500 0.506
La3 0.000 0.500 0.780
La4 0.500 0.500 0.005
La5 0.500 0.500 0.280
Fe1 0.000 0.000 0.641
Fe2 0.000 0.500 0.140
O1 0.000 0.000 0.470
O2 0.000 0.000 0.804
O3 0.000 0.500 0.314
O4 0.000 0.500 0.971
O5 0.247 0.247 0.641
O6 0.251 0.251 0.146
O7 0.500 0.500 0.461
O8 0.500 0.500 0.825
```

Computed properties:
N(E_F)	2.6	states/eV/f.u.
crystal system	tetragonal

---

So what do the calculations give for E? Going down the list: -10.25, -213.35, -207.90 eV per cell.